Compound: LiY5Au6
Source: Alexandria via LeMat-Bulk
Functional: GGA-PBE
Structure: optimized geometry

Values from the calculation:
Space group ... No. 12
Energy of formation from the pure elements ... -0.80 eV per atom
ρ ... 9.9 g cm⁻³
D(E_F) ... 7.74 states/eV/f.u.

```
LiY5Au6
1.0
4.8329 0.0018 -1.3508
-3.6163 7.0777 -3.6454
-0.1668 -0.9987 8.6853
Y Au Li
5 6 1
Direct
0.5000 0.1562 0.8438
0.5000 0.8438 0.1562
0.0000 0.6695 0.3305
0.0000 0.3305 0.6695
0.5000 0.5000 0.5000
0.7638 0.2620 0.2620
0.2362 0.7380 0.7380
0.2594 0.0868 0.4309
0.2594 0.4309 0.0868
0.7406 0.9132 0.5691
0.7406 0.5691 0.9132
0.0000 0.0000 0.0000
```